(1)
Below is Ta2NbAl after structural relaxation, with properties calculated at the GGA-PBE level.

Cell: 5.938 5.938 5.938 Å, 102.11 102.11 125.48°
Positions (direct):
Ta: 0.113 0.625 0.988
Ta: 0.375 0.363 0.488
Ta: 0.637 0.125 0.012
Ta: 0.875 0.887 0.512
Nb: 0.250 0.750 0.500
Nb: 0.500 0.500 0.000
Al: 0.000 0.000 0.000
Al: 0.750 0.250 0.500

The formation energy comes out at 0.598 eV/atom.

=====

(2)
Below is PtRhCl2 after structural relaxation, with properties calculated at the GGA-PBE level.

Cell: 3.072 3.072 7.010 Å, 90.00 90.00 90.00°
Positions (direct):
Pt: 0.000 0.000 0.000
Rh: 0.000 0.000 0.500
Cl: 0.500 0.500 0.272
Cl: 0.500 0.500 0.728

For the uncorrected formation energy, the calculation gives 0.7332 eV per atom.

=====

(3)
Below is DyIn6S8 after structural relaxation, with properties calculated at the GGA-PBE level.

Cell: 7.170 7.170 7.170 Å, 94.97 94.97 94.97°
Positions (direct):
Dy: 0.000 0.000 0.000
In: 0.225 0.620 0.338
In: 0.338 0.225 0.620
In: 0.380 0.662 0.775
In: 0.620 0.338 0.225
In: 0.662 0.775 0.380
In: 0.775 0.380 0.662
S: 0.098 0.356 0.832
S: 0.168 0.902 0.644
S: 0.257 0.257 0.257
S: 0.356 0.832 0.098
S: 0.644 0.168 0.902
S: 0.743 0.743 0.743
S: 0.832 0.098 0.356
S: 0.902 0.644 0.168

For the uncorrected formation energy, the calculation gives -0.5143 eV per atom.

=====

Number 1: density of states at the Fermi level 2.59 states/eV/f.u., DFT total energy -70.249 eV/cell. Number 2: density of states at the Fermi level 5.81 states/eV/f.u., DFT total energy -14.153 eV/cell. Number 3: density of states at the Fermi level 9.26 states/eV/f.u., DFT total energy -61.766 eV/cell.